ZnNi5O6 after structural relaxation, computed with GGA+U.

Values from the calculation:
SG: C2/m (12)
Density: 6.59 g cm⁻³
Calculated total energy: -4.75 eV per atom

```
ZnNi5O6
1.0
5.137 0.125 0.780
1.262 4.354 2.538
0.086 0.045 5.196
Ni Zn O
5 1 6
Cartesian
2.836 0.818 4.277
0.449 1.466 2.578
3.199 2.239 1.659
0.899 2.933 5.156
3.649 3.705 4.237
0.000 0.000 0.000
3.979 0.474 2.549
2.052 2.567 3.418
1.615 1.133 0.839
4.784 3.345 2.479
4.432 1.957 5.096
2.506 4.050 5.965
```